[1]
# MgIn2Ag

An optimized crystal structure of MgIn2Ag (GGA-PBEsol, Alexandria).

Cell lengths 3.1660, 3.1660, 8.5736 Å; angles 90.00, 90.00, 90.00 degrees
Last column: nearest neighbours and their distance in Å.
Atoms (fractional coordinates):
1 Mg 0.0000 0.0000 0.0000  4 Ag 2.84, 4 Mg 3.17
2 In 0.0000 0.0000 0.4384  4 Ag 3.01, 8 In 3.17-3.36
3 In 0.5000 0.5000 0.7307  8 In 3.17-3.36, 4 Mg 3.22
4 Ag 0.5000 0.5000 0.2044  4 Mg 2.84, 4 In 3.01, 4 Ag 3.17

For the mass density, the calculation gives 6.99 Mg/m³. As for the volume: 86 Å³/f.u. The formation enthalpy at 0 K is -0.073 eV/atom. The symmetry is No. 99.

=====

[2]
# TlW

An optimized crystal structure of TlW (GGA-PBEsol, Alexandria).

Cell lengths 12.6390, 2.8046, 4.9477 Å; angles 90.00, 112.30, 90.00 degrees
Last column: nearest neighbours and their distance in Å.
Atoms (fractional coordinates):
1 Tl 0.1033 0.0000 0.3580  2 Tl 2.80, 4 W 2.90-2.91
2 Tl 0.3967 0.5000 0.6420  2 Tl 2.80, 4 W 2.90-2.91
3 Tl 0.6033 0.5000 0.3580  2 Tl 2.80, 4 W 2.90-2.91
4 Tl 0.8967 0.0000 0.6420  2 Tl 2.80, 4 W 2.90-2.91
5 W 0.1533 0.5000 0.9073  4 W 2.66-2.80, 4 Tl 2.90-2.91
6 W 0.3467 0.0000 0.0927  4 W 2.66-2.80, 4 Tl 2.90-2.91
7 W 0.6533 0.0000 0.9073  4 W 2.66-2.80, 4 Tl 2.90-2.91
8 W 0.8467 0.5000 0.0927  4 W 2.66-2.80, 4 Tl 2.90-2.91

For the mass density, the calculation gives 15.89 Mg/m³. As for the volume: 41 Å³/f.u. The formation enthalpy at 0 K is 1.027 eV/atom. The symmetry is No. 12. The calculation puts the energy above the most stable polymorph in this dataset at 39.3 meV/atom.

=====

[3]
# HfSiOs

An optimized crystal structure of HfSiOs (GGA-PBEsol, Alexandria).

Cell lengths 6.5750, 6.5750, 3.6924 Å; angles 90.00, 90.00, 120.00 degrees
Last column: nearest neighbours and their distance in Å.
Atoms (fractional coordinates):
1 Hf 0.0000 0.5834 0.0000  5 Si 2.70-2.74, 6 Os 2.88-3.02
2 Hf 0.4166 0.4166 0.0000  5 Si 2.70-2.74, 6 Os 2.88-3.02
3 Hf 0.5834 0.0000 0.0000  5 Si 2.70-2.74, 6 Os 2.88-3.02
4 Si 0.0000 0.0000 0.0000  6 Os 2.46, 3 Hf 2.74
5 Si 0.3333 0.6667 0.5000  3 Os 2.52, 6 Hf 2.70
6 Si 0.6667 0.3333 0.5000  3 Os 2.52, 6 Hf 2.70
7 Os 0.0000 0.2470 0.5000  4 Si 2.46-2.52
8 Os 0.2470 0.0000 0.5000  4 Si 2.46-2.52
9 Os 0.7530 0.7530 0.5000  4 Si 2.46-2.52

For the mass density, the calculation gives 14.30 Mg/m³. As for the volume: 46 Å³/f.u. The calculation puts the uncorrected formation energy at -0.8905 eV/atom. The symmetry is No. 189.

=====

[4]
# AlSbPCl2

An optimized crystal structure of AlSbPCl2 (GGA-PBEsol, Alexandria).

Cell lengths 4.5169, 4.5169, 5.0011 Å; angles 90.00, 90.00, 90.00 degrees
Last column: nearest neighbours and their distance in Å.
Atoms (fractional coordinates):
1 Al 0.0000 0.0000 0.0000  4 Cl 2.26, 2 P 2.50
2 Sb 0.5000 0.5000 0.5000  4 P 3.19, 8 Cl 3.37
3 P 0.0000 0.0000 0.5000  2 Al 2.50
4 Cl 0.0000 0.5000 0.0000  2 Al 2.26
5 Cl 0.5000 0.0000 0.0000  2 Al 2.26

For the mass density, the calculation gives 4.08 Mg/m³. As for the volume: 102 Å³/f.u. The calculation puts the uncorrected formation energy at -0.2350 eV/atom. The symmetry is No. 123.

=====

[5]
# BiRuBr2

An optimized crystal structure of BiRuBr2 (GGA-PBEsol, Alexandria).

Cell lengths 3.2776, 3.2776, 29.7186 Å; angles 90.00, 90.00, 120.00 degrees
Last column: nearest neighbours and their distance in Å.
Atoms (fractional coordinates):
1 Bi 0.0000 0.0000 0.0000  6 Br 3.23, 6 Bi 3.28
2 Bi 0.3333 0.6667 0.6667  6 Br 3.23, 6 Bi 3.28
3 Bi 0.6667 0.3333 0.3333  6 Br 3.23, 6 Bi 3.28
4 Ru 0.0000 0.0000 0.5000  2 Br 2.34
5 Ru 0.3333 0.6667 0.1667  2 Br 2.34
6 Ru 0.6667 0.3333 0.8333  2 Br 2.34
7 Br 0.0000 0.0000 0.4212  1 Ru 2.34
8 Br 0.0000 0.0000 0.5788  1 Ru 2.34
9 Br 0.3333 0.6667 0.0879  1 Ru 2.34
10 Br 0.3333 0.6667 0.2454  1 Ru 2.34
11 Br 0.6667 0.3333 0.7546  1 Ru 2.34
12 Br 0.6667 0.3333 0.9121  1 Ru 2.34

For the mass density, the calculation gives 8.47 Mg/m³. As for the volume: 92 Å³/f.u. The calculation puts the uncorrected formation energy at 0.5078 eV/atom. The symmetry is No. 166. The calculation puts the energy above the most stable polymorph in this dataset at 0.0 meV/atom.

=====

[6]
# Ba14Na14LiN6

An optimized crystal structure of Ba14Na14LiN6 (GGA-PBEsol, Alexandria).

Cell lengths 12.3740, 12.3740, 12.3740 Å; angles 60.00, 60.00, 60.00 degrees
Last column: nearest neighbours and their distance in Å.
Atoms (fractional coordinates):
1 Ba 0.1880 0.6040 0.6040  3 N 2.69
2 Ba 0.2097 0.2097 0.7903  1 N 2.48
3 Ba 0.2097 0.7903 0.2097  1 N 2.48
4 Ba 0.2097 0.7903 0.7903  1 N 2.48
5 Ba 0.3960 0.3960 0.3960  3 N 2.69
6 Ba 0.3960 0.3960 0.8120  3 N 2.69
7 Ba 0.3960 0.8120 0.3960  3 N 2.69
8 Ba 0.6040 0.1880 0.6040  3 N 2.69
9 Ba 0.6040 0.6040 0.1880  3 N 2.69
10 Ba 0.6040 0.6040 0.6040  3 N 2.69
11 Ba 0.7903 0.2097 0.2097  1 N 2.48
12 Ba 0.7903 0.2097 0.7903  1 N 2.48
13 Ba 0.7903 0.7903 0.2097  1 N 2.48
14 Ba 0.8120 0.3960 0.3960  3 N 2.69
15 Na 0.0000 0.0000 0.5000  4 Na 3.58
16 Na 0.0000 0.5000 0.0000  4 Na 3.58
17 Na 0.0000 0.5000 0.5000  4 Na 3.58
18 Na 0.1714 0.1714 0.1714  6 Na 3.58-3.89
19 Na 0.1714 0.1714 0.4857  6 Na 3.58-3.89
20 Na 0.1714 0.4857 0.1714  6 Na 3.58-3.89
21 Na 0.4857 0.1714 0.1714  6 Na 3.58-3.89
22 Na 0.5000 0.0000 0.0000  4 Na 3.58
23 Na 0.5000 0.0000 0.5000  4 Na 3.58
24 Na 0.5000 0.5000 0.0000  4 Na 3.58
25 Na 0.5143 0.8286 0.8286  6 Na 3.58-3.89
26 Na 0.8286 0.5143 0.8286  6 Na 3.58-3.89
27 Na 0.8286 0.8286 0.5143  6 Na 3.58-3.89
28 Na 0.8286 0.8286 0.8286  6 Na 3.58-3.89
29 Li 0.5000 0.5000 0.5000  6 N 2.60
30 N 0.3517 0.3517 0.6483  5 Ba 2.48-2.69, 1 Li 2.60
31 N 0.3517 0.6483 0.3517  5 Ba 2.48-2.69, 1 Li 2.60
32 N 0.3517 0.6483 0.6483  5 Ba 2.48-2.69, 1 Li 2.60
33 N 0.6483 0.3517 0.3517  5 Ba 2.48-2.69, 1 Li 2.60
34 N 0.6483 0.3517 0.6483  5 Ba 2.48-2.69, 1 Li 2.60
35 N 0.6483 0.6483 0.3517  5 Ba 2.48-2.69, 1 Li 2.60

For the mass density, the calculation gives 2.89 Mg/m³. As for the volume: 1340 Å³/f.u. The calculation puts the uncorrected formation energy at -0.2848 eV/atom. The symmetry is No. 225.

=====

[7]
# LaSi3Tc

An optimized crystal structure of LaSi3Tc (GGA-PBEsol, Alexandria).

Cell lengths 5.2494, 5.2494, 5.2494 Å; angles 90.00, 90.00, 90.00 degrees
Last column: nearest neighbours and their distance in Å.
Atoms (fractional coordinates):
1 La 0.0000 0.0000 0.0000  6 Si 2.62
2 Si 0.0000 0.0000 0.5000  2 La 2.62
3 Si 0.0000 0.5000 0.0000  2 La 2.62
4 Si 0.5000 0.0000 0.0000  2 La 2.62
5 Tc 0.5000 0.5000 0.5000  12 Si 3.71

For the mass density, the calculation gives 3.69 Mg/m³. As for the volume: 145 Å³/f.u. The calculation puts the uncorrected formation energy at 2.1511 eV/atom. The symmetry is No. 221.

=====

[8]
# SrZrMn

An optimized crystal structure of SrZrMn (GGA-PBEsol, Alexandria).

Cell lengths 3.4612, 3.4612, 12.0944 Å; angles 90.00, 90.00, 90.00 degrees
Last column: nearest neighbours and their distance in Å.
Atoms (fractional coordinates):
1 Sr 0.0000 0.0000 0.0000  5 Zr 3.31-3.68, 4 Mn 3.37, 4 Sr 3.46
2 Sr 0.5000 0.5000 0.5000  5 Zr 3.31-3.68, 4 Mn 3.37, 4 Sr 3.46
3 Zr 0.0000 0.0000 0.7267  4 Mn 2.64
4 Zr 0.5000 0.5000 0.2267  4 Mn 2.64
5 Mn 0.0000 0.0000 0.3081  4 Zr 2.64
6 Mn 0.5000 0.5000 0.8081  4 Zr 2.64

For the mass density, the calculation gives 5.36 Mg/m³. As for the volume: 72 Å³/f.u. The formation enthalpy at 0 K is 0.463 eV/atom. The symmetry is No. 107. The calculation puts the energy above the most stable polymorph in this dataset at 0.0 meV/atom.

=====

[9]
# SnGe3Br

An optimized crystal structure of SnGe3Br (GGA-PBEsol, Alexandria).

Cell lengths 5.3178, 5.3178, 5.3178 Å; angles 90.00, 90.00, 90.00 degrees
Last column: nearest neighbours and their distance in Å.
Atoms (fractional coordinates):
1 Sn 0.0000 0.0000 0.0000  6 Ge 2.66
2 Ge 0.0000 0.0000 0.5000  2 Sn 2.66
3 Ge 0.0000 0.5000 0.0000  2 Sn 2.66
4 Ge 0.5000 0.0000 0.0000  2 Sn 2.66
5 Br 0.5000 0.5000 0.5000  12 Ge 3.76

For the mass density, the calculation gives 4.60 Mg/m³. As for the volume: 150 Å³/f.u. The calculation puts the uncorrected formation energy at 0.8368 eV/atom. The symmetry is No. 221.

=====

[10]
# Cr3InAu

An optimized crystal structure of Cr3InAu (GGA-PBEsol, Alexandria).

Cell lengths 4.9098, 4.9098, 4.9098 Å; angles 90.00, 90.00, 90.00 degrees
Last column: nearest neighbours and their distance in Å.
Atoms (fractional coordinates):
1 Cr 0.0000 0.0000 0.5000  2 Au 2.45
2 Cr 0.0000 0.5000 0.0000  2 Au 2.45
3 Cr 0.5000 0.0000 0.0000  2 Au 2.45
4 In 0.5000 0.5000 0.5000  12 Cr 3.47
5 Au 0.0000 0.0000 0.0000  6 Cr 2.45

For the mass density, the calculation gives 6.56 Mg/m³. As for the volume: 118 Å³/f.u. The formation enthalpy at 0 K is 1.391 eV/atom. The symmetry is No. 221. The calculation puts the energy above the most stable polymorph in this dataset at 0.0 meV/atom.

=====

[11]
# Li2PPt

An optimized crystal structure of Li2PPt (GGA-PBEsol, Alexandria).

Cell lengths 4.8531, 7.7940, 2.7302 Å; angles 90.00, 90.00, 90.00 degrees
Last column: nearest neighbours and their distance in Å.
Atoms (fractional coordinates):
1 Li 0.2500 0.2500 0.0000  2 Li 2.43, 4 Pt 2.67, 4 P 2.67
2 Li 0.2500 0.7500 0.0000  2 Li 2.43, 4 Pt 2.67, 4 P 2.67
3 Li 0.7500 0.2500 0.0000  2 Li 2.43, 4 P 2.67, 4 Pt 2.67
4 Li 0.7500 0.7500 0.0000  2 Li 2.43, 4 Pt 2.67, 4 P 2.67
5 P 0.0000 0.0000 0.5000  2 Pt 2.43, 8 Li 2.67
6 P 0.5000 0.5000 0.5000  2 Pt 2.43, 8 Li 2.67
7 Pt 0.0000 0.5000 0.5000  2 P 2.43, 8 Li 2.67
8 Pt 0.5000 0.0000 0.5000  2 P 2.43, 8 Li 2.67

For the mass density, the calculation gives 7.72 Mg/m³. As for the volume: 52 Å³/f.u. The formation enthalpy at 0 K is -0.566 eV/atom. The symmetry is No. 65.

=====

[12]
# Mn2ZnPt

An optimized crystal structure of Mn2ZnPt (GGA-PBEsol, Alexandria).

Cell lengths 2.9497, 2.9497, 5.8558 Å; angles 90.00, 90.00, 90.00 degrees
Last column: nearest neighbours and their distance in Å.
Atoms (fractional coordinates):
1 Mn 0.0000 0.0000 0.0000  4 Mn 2.41, 4 Zn 2.56
2 Mn 0.5000 0.5000 0.2051  4 Mn 2.41, 4 Pt 2.63, 1 Zn 2.68
3 Zn 0.5000 0.5000 0.7473  5 Mn 2.56-2.68, 4 Pt 2.61
4 Pt 0.0000 0.0000 0.4780  4 Zn 2.61, 5 Mn 2.63-2.80

For the mass density, the calculation gives 12.07 Mg/m³. As for the volume: 51 Å³/f.u. The formation enthalpy at 0 K is -0.104 eV/atom. The symmetry is No. 99.

=====

- What is the formula in the seventh record?
  LaSi3Tc

=====

Please write out number 12 again, unchanged.
# Mn2ZnPt

An optimized crystal structure of Mn2ZnPt (GGA-PBEsol, Alexandria).

Cell lengths 2.9497, 2.9497, 5.8558 Å; angles 90.00, 90.00, 90.00 degrees
Last column: nearest neighbours and their distance in Å.
Atoms (fractional coordinates):
1 Mn 0.0000 0.0000 0.0000  4 Mn 2.41, 4 Zn 2.56
2 Mn 0.5000 0.5000 0.2051  4 Mn 2.41, 4 Pt 2.63, 1 Zn 2.68
3 Zn 0.5000 0.5000 0.7473  5 Mn 2.56-2.68, 4 Pt 2.61
4 Pt 0.0000 0.0000 0.4780  4 Zn 2.61, 5 Mn 2.63-2.80

For the mass density, the calculation gives 12.07 Mg/m³. As for the volume: 51 Å³/f.u. The formation enthalpy at 0 K is -0.104 eV/atom. The symmetry is No. 99.